Material: Tl2VInGa
Method: DFT, PBE
State: optimized geometry

Calculated values
- total moment (μB per formula unit) = 3.8
- mass density (Mg/m³) = 6.17
- energy of formation from the pure elements (eV per formula unit) = 4.7

Structure (CIF):
```
data_Tl2VInGa
_cell_length_a 5.6931
_cell_length_b 5.6931
_cell_length_c 5.3510
_cell_angle_alpha 90.00
_cell_angle_beta 90.00
_cell_angle_gamma 90.00
_symmetry_space_group_name_H-M 'P 4/m m m'
_symmetry_Int_Tables_number 123
_symmetry_space_group_name_Hall '-P 4 2'
loop_
_atom_site_label
_atom_site_type_symbol
_atom_site_fract_x
_atom_site_fract_y
_atom_site_fract_z
_atom_site_occupancy
Tl1 Tl 0.0000 0.5000 0.0000 1
V1 V 0.0000 0.0000 0.5000 1
In1 In 0.0000 0.0000 0.0000 1
Ga1 Ga 0.5000 0.5000 0.5000 1
```